Record 1
Er3Th5As8 after structural relaxation, computed with PBE.

Structure (POSCAR):
```
Er3Th5As8
1.0
-7.8512 -2.9675 -0.2811
-1.3681 -8.2832 0.2084
-3.4025 -3.5243 6.7905
Er Th As
3 5 8
direct
0.5000 0.0000 0.5000
0.0000 0.0000 0.5000
0.0000 0.5000 0.5000
0.5000 0.0000 0.0000
0.5000 0.5000 0.0000
0.0000 0.0000 0.0000
0.0000 0.5000 0.0000
0.5000 0.5000 0.5000
0.2500 0.2500 0.7424
0.2500 0.7577 0.7424
0.7577 0.2500 0.7424
0.7534 0.7534 0.7399
0.7500 0.7500 0.2576
0.7500 0.2423 0.2576
0.2423 0.7500 0.2576
0.2466 0.2466 0.2601
```

Properties
DOS(E_F): 8.142 states/eV per cell
Crystal system: trigonal
Formation enthalpy at 0 K: -1.434 eV per atom
Electronic total energy: -6.933 eV/atom

Record 2
LiNb2RuN after structural relaxation, computed with PBE.

Structure (POSCAR):
```
LiNb2RuN
1.0
-2.8670 -3.1066 -0.6123
2.2644 -1.4344 -3.3257
1.9117 -2.2085 2.2541
Ru Nb Li N
1 2 1 1
direct
0.5000 0.5000 0.5000
0.0000 0.5000 0.0000
0.5000 0.0000 0.0000
0.0000 0.0000 0.5000
0.0000 0.0000 0.0000
```

Properties
DOS(E_F): 2.305 states/eV per cell
Crystal system: tetragonal
Formation energy without anion corrections: -2.2 eV per formula unit
Electronic total energy: -8.367 eV/atom

Record 3
SmYInOs after structural relaxation, computed with PBE.

Structure (POSCAR):
```
SmYInOs
1.0
-1.7517 4.6716 1.0624
-5.0130 0.9348 -0.1297
-2.5504 0.8425 4.3367
Y Os Sm In
1 1 1 1
direct
0.7500 0.7500 0.7500
0.5000 0.5000 0.5000
0.2500 0.2500 0.2500
0.0000 0.0000 0.0000
```

Properties
DOS(E_F): 2.351 states/eV per cell
Crystal system: cubic
Formation enthalpy at 0 K: -0.189 eV per atom
Electronic total energy: -6.477 eV/atom

| no. | M_tot (μB per formula unit) |
| --- | --- |
| 1 | 0.000 |
| 2 | 0.000 |
| 3 | 0.000 |